# SbMoRh2

SbMoRh2 after structural relaxation (PBE, the Alexandria database).

a b c (Å): 2.9914 2.9914 25.8537
angles (deg): 90.00 90.00 120.00
With the nearest neighbours (Å) after each atom.
Element x y z (fractional)
Sb: 0.0000 0.0000 0.0000  3 Rh 2.67, 3 Mo 2.91, 6 Sb 2.99
Sb: 0.3333 0.6667 0.6667  3 Rh 2.67, 3 Mo 2.91, 6 Sb 2.99
Sb: 0.6667 0.3333 0.3333  3 Rh 2.67, 3 Mo 2.91, 6 Sb 2.99
Mo: 0.0000 0.0000 0.2429  3 Rh 2.63, 3 Sb 2.91
Mo: 0.3333 0.6667 0.9096  3 Rh 2.63, 3 Sb 2.91
Mo: 0.6667 0.3333 0.5762  3 Rh 2.63, 3 Sb 2.91
Rh: 0.0000 0.0000 0.4994  3 Mo 2.63, 3 Rh 2.84
Rh: 0.0000 0.0000 0.7455  3 Sb 2.67, 9 Rh 2.84-2.99
Rh: 0.3333 0.6667 0.1660  3 Mo 2.63, 3 Rh 2.84
Rh: 0.3333 0.6667 0.4122  3 Sb 2.67, 9 Rh 2.84-2.99
Rh: 0.6667 0.3333 0.0789  3 Sb 2.67, 9 Rh 2.84-2.99
Rh: 0.6667 0.3333 0.8327  3 Mo 2.63, 3 Rh 2.84

Properties
As for the crystal system: trigonal. The calculation puts the energy at -0.26556 hartree per atom. The calculation puts the calculated volume at 200.36 Å³/cell. Its theoretical density is 10.53 Mg/m³. As for the spin magnetization: 0.00 μB/f.u. Its density of states at the Fermi level is 10.68 states/eV/cell.